# 1
{
  "formula": "ScNbV2",
  "functional": "PBE",
  "state": "optimized geometry",
  "cell": [[-2.656, -0.090, 1.857], [1.629, -1.675, 2.248], [1.829, 5.653, 2.888]],
  "species": ["V", "V", "Sc", "Nb"],
  "frac_coords": [[0.000, 0.000, 0.209], [0.000, 0.000, 0.791], [0.500, 0.500, 0.500], [0.500, 0.500, 0.000]],
  "space_group": "P4/mmm",
  "de_polymorph_mev_per_atom": 0,
  "e_form_ev_per_atom": 0.16,
  "total_energy_ev_per_cell": -34.0
}



# 2
{
  "formula": "ScNb2V",
  "functional": "PBE",
  "state": "optimized geometry",
  "cell": [[-2.289, 2.256, -0.242], [-1.279, -1.567, -2.509], [-4.100, -3.687, 4.393]],
  "species": ["V", "Nb", "Sc", "Nb"],
  "frac_coords": [[0.500, 0.500, 0.000], [0.000, 0.000, 0.209], [0.500, 0.500, 0.500], [0.000, 0.000, 0.791]],
  "space_group": "P4/mmm",
  "de_polymorph_mev_per_atom": 0,
  "e_form_ev_per_atom": 0.13,
  "total_energy_ev_per_cell": -35.1
}



# 3
{
  "formula": "ScNbV2",
  "functional": "PBE",
  "state": "optimized geometry",
  "cell": [[-1.365, -3.988, 1.816], [-4.288, -1.486, -0.686], [-0.768, -3.617, -2.720]],
  "species": ["V", "Nb", "V", "Sc"],
  "frac_coords": [[0.750, 0.750, 0.750], [0.500, 0.500, 0.500], [0.250, 0.250, 0.250], [0.000, 0.000, 0.000]],
  "space_group": "Fm-3m",
  "de_polymorph_mev_per_atom": 61,
  "e_form_ev_per_atom": 0.22,
  "total_energy_ev_per_cell": -33.7
}



# 4
{
  "formula": "ScNb2V2",
  "functional": "PBE",
  "state": "optimized geometry",
  "cell": [[7.511, 0.000, 0.000], [0.000, 7.511, 0.000], [0.000, 0.000, 3.175]],
  "species": ["Nb", "Nb", "Sc", "V", "Nb", "Nb", "V", "Sc", "V", "V"],
  "frac_coords": [[0.354, 0.854, 0.000], [0.854, 0.646, 0.000], [0.000, 0.000, 0.000], [0.142, 0.642, 0.500], [0.646, 0.146, 0.000], [0.146, 0.354, 0.000], [0.858, 0.358, 0.500], [0.500, 0.500, 0.000], [0.642, 0.858, 0.500], [0.358, 0.142, 0.500]],
  "space_group": "P4/mbm",
  "de_polymorph_mev_per_atom": 96,
  "e_form_ev_per_atom": 0.30,
  "total_energy_ev_per_cell": -86.4
}



# 5
{
  "formula": "ScNbV2",
  "functional": "PBE",
  "state": "optimized geometry",
  "cell": [[-6.268, -0.263, 3.224], [-1.516, -5.971, -3.435], [-2.757, -4.604, 1.980]],
  "species": ["V", "V", "Nb", "Sc", "Sc", "V", "V", "Nb"],
  "frac_coords": [[0.875, 0.887, 0.750], [0.637, 0.125, 0.250], [0.000, 0.000, 0.000], [0.250, 0.750, 0.500], [0.500, 0.500, 0.000], [0.375, 0.363, 0.750], [0.113, 0.625, 0.250], [0.750, 0.250, 0.500]],
  "space_group": "I-42d",
  "de_polymorph_mev_per_atom": 493,
  "e_form_ev_per_atom": 0.65,
  "total_energy_ev_per_cell": -64.0
}



# 6
{
  "formula": "ScNb2V",
  "functional": "PBE",
  "state": "optimized geometry",
  "cell": [[3.034, 0.000, 0.000], [1.517, 2.628, 0.000], [1.517, 0.876, 9.548]],
  "species": ["Nb", "Nb", "V", "Sc"],
  "frac_coords": [[0.097, 0.097, 0.708], [0.903, 0.903, 0.292], [0.500, 0.500, 0.500], [0.000, 0.000, 0.000]],
  "space_group": "R-3m",
  "de_polymorph_mev_per_atom": 307,
  "e_form_ev_per_atom": 0.44,
  "total_energy_ev_per_cell": -33.8
}